## Zn3Ag (PBE)

Data for a relaxed structure of Zn3Ag.

Properties
Magnetization, μB/f.u.: 0.00
Electronic total energy, Ry per atom: -0.124

```
data_Zn3Ag
_chemical_formula_sum 'Zn6 Ag2'
_cell_length_a 2.894
_cell_length_b 8.866
_cell_length_c 4.854
_cell_angle_alpha 90.00
_cell_angle_beta 90.00
_cell_angle_gamma 90.00
_space_group_name_H-M_alt 'I m m 2'
_space_group_IT_number 44
_space_group_name_Hall 'I 2 -2'
loop_
_atom_site_label
_atom_site_type_symbol
_atom_site_fract_x
_atom_site_fract_y
_atom_site_fract_z
Zn1 Zn 0.000 0.000 0.000
Zn2 Zn 0.000 0.252 0.337
Ag1 Ag 0.000 0.500 0.000
```